# K4U3NbO12 (PBE-GGA, relaxed)
# M_tot = 0.150 μB per atom
# E_tot = -8.1714 eV/atom
# Fermi-level density of states = 2.705 states/eV per cell
data_K4U3NbO12
_chemical_formula_sum 'K4 U3 Nb1 O12'
_space_group_name_H-M_alt 'P 1'
_space_group_IT_number 1
_cell_length_a 7.3862
_cell_length_b 7.3862
_cell_length_c 7.3862
_cell_angle_alpha 109.47
_cell_angle_beta 109.47
_cell_angle_gamma 109.47
loop_
_space_group_symop_operation_xyz
'x,y,z'
loop_
_atom_site_label
_atom_site_type_symbol
_atom_site_fract_x
_atom_site_fract_y
_atom_site_fract_z
O1 O 0.2407 0.0000 0.2407
O2 O 0.2500 0.5000 0.7500
O3 O 0.7500 0.2500 0.5000
O4 O 0.0000 0.7593 0.7593
O5 O 0.7500 0.5000 0.2500
O6 O 0.2500 0.7500 0.5000
O7 O 0.2407 0.2407 0.0000
O8 O 0.7593 0.7593 0.0000
O9 O 0.5000 0.2500 0.7500
O10 O 0.5000 0.7500 0.2500
O11 O 0.0000 0.2407 0.2407
O12 O 0.7593 0.0000 0.7593
U1 U 0.5000 0.0000 0.5000
U2 U 0.0000 0.5000 0.5000
U3 U 0.5000 0.5000 0.0000
K1 K 0.0000 0.0000 0.5000
K2 K 0.5000 0.0000 0.0000
K3 K 0.0000 0.5000 0.0000
K4 K 0.5000 0.5000 0.5000
Nb1 Nb 0.0000 0.0000 0.0000